# 1
PuThMg2Hg4 | PBE | optimized geometry

Results
- size of the total moment (μB/f.u.) = 5.52
- electronic total energy (eV per atom) = -3.5320
- energy of formation from the pure elements (eV/atom) = -0.263

abc: 5.1758 5.1758 25.3823
angles: 90.00 90.00 120.00
Space group R-3m (No. 166, hexagonal axes)
One atom of each set of equivalent atoms:
Pu1 0.0000 0.0000 0.0000 (multiplicity 3)
Th1 0.0000 0.0000 0.5000 (multiplicity 3)
Mg1 0.0000 0.0000 0.2510 (multiplicity 6)
Hg1 0.0000 0.0000 0.1231 (multiplicity 6)
Hg2 0.0000 0.0000 0.3733 (multiplicity 6)

# 2
CaAg4Au | PBE | optimized geometry

Results
- size of the total moment (μB/f.u.) = 0.00
- electronic total energy (eV per atom) = -2.9257
- offset from the most stable computed form (kJ/mol of atoms) = 5.7
- energy of formation from the pure elements (eV/atom) = -0.145

abc: 8.229 4.231 7.328
angles: 90.00 90.00 90.00
Space group Pmma (No. 51)
One atom of each set of equivalent atoms:
Ca1 0.250 0.000 0.130 (multiplicity 2)
Ag1 0.000 0.000 0.500 (multiplicity 2)
Ag2 0.030 0.500 0.804 (multiplicity 4)
Ag3 0.250 0.500 0.457 (multiplicity 2)
Au1 0.250 0.000 0.743 (multiplicity 2)

# 3
Ba2Hg2Ir | PBE | optimized geometry

Results
- size of the total moment (μB/f.u.) = 0.00
- electronic total energy (eV per atom) = -2.6513
- offset from the most stable computed form (kJ/mol of atoms) = 3.7
- energy of formation from the pure elements (eV/atom) = 0.011

abc: 6.516 6.516 8.107
angles: 90.00 90.00 90.00
Space group I4/mmm (No. 139)
One atom of each set of equivalent atoms:
Ba1 0.000 0.500 0.250 (multiplicity 4)
Hg1 0.000 0.000 0.171 (multiplicity 4)
Ir1 0.000 0.000 0.500 (multiplicity 2)

# 4
FeCuPb2 | PBE | optimized geometry

Results
- size of the total moment (μB/f.u.) = 2.93
- electronic total energy (eV per atom) = -4.3162
- offset from the most stable computed form (kJ/mol of atoms) = 33.4
- energy of formation from the pure elements (eV/atom) = 0.678

abc: 7.428 7.428 6.538
angles: 90.00 90.00 90.00
Space group I-42d (No. 122)
One atom of each set of equivalent atoms:
Fe1 0.000 0.000 0.000 (multiplicity 4)
Cu1 0.000 0.000 0.500 (multiplicity 4)
Pb1 0.244 0.750 0.625 (multiplicity 8)

# 5
V2SiNiI | PBE | optimized geometry

Results
- formation energy (no corrections) (eV/atom) = 2.00
- size of the total moment (μB/f.u.) = 5.03
- electronic total energy (eV per atom) = -4.2026

abc: 4.903 4.903 5.216
angles: 90.00 90.00 90.00
Space group P4/mmm (No. 123)
One atom of each set of equivalent atoms:
V1 0.000 0.500 0.000 (multiplicity 2)
Si1 0.000 0.000 0.500 (multiplicity 1)
Ni1 0.500 0.500 0.500 (multiplicity 1)
I1 0.000 0.000 0.000 (multiplicity 1)

# 6
PrPaOs2 | PBE | optimized geometry

Results
- size of the total moment (μB/f.u.) = 0.00
- electronic total energy (eV per atom) = -9.3103
- offset from the most stable computed form (kJ/mol of atoms) = 0.0
- energy of formation from the pure elements (eV/atom) = -0.127

abc: 3.475 3.475 7.210
angles: 90.00 90.00 90.00
Space group P4/mmm (No. 123)
One atom of each set of equivalent atoms:
Pr1 0.000 0.000 0.000 (multiplicity 1)
Pa1 0.000 0.000 0.500 (multiplicity 1)
Os1 0.500 0.500 0.292 (multiplicity 2)